# 1
A relaxed structure of RbLi2LaBr6. Source: Alexandria, functional PBE.

Cell: 7.4493 7.4485 7.9771 Å, 62.16 62.14 59.95°
Fractional coordinates of all 10 atoms:
Br  0.7460  0.1912  0.7454
Br  0.8915  0.6176  0.2307
Li  0.0089  0.0095  0.9733
Li  0.5196  0.5196  0.4412
Br  0.3173  0.7457  0.7457
Br  0.1915  0.3174  0.7455
La  0.3176  0.3175  0.0473
Br  0.2600  0.8915  0.2306
Br  0.6178  0.2600  0.2305
Rb  0.7915  0.7916  0.6250

Computed properties:
density of states at the Fermi level = 0.000 states/eV per atom
ΔE_f (raw) = -167 kJ/mol of atoms

# 2
A relaxed structure of LiCa6Cd2. Source: Alexandria, functional PBE.

Cell: 9.3661 9.3661 9.3661 Å, 104.24 112.96 111.34°
Fractional coordinates of all 18 atoms:
Cd  0.3416  0.0000  0.3416
Ca  0.8008  0.2470  0.0478
Cd  0.5000  0.6273  0.1273
Ca  0.7047  0.3768  0.6721
Li  0.0000  0.0000  0.0000
Ca  0.5362  0.7210  0.8152
Ca  0.9058  0.7210  0.1848
Ca  0.0942  0.2790  0.8152
Ca  0.2953  0.6232  0.3279
Cd  0.5000  0.3727  0.8727
Li  0.0000  0.5000  0.5000
Ca  0.2953  0.9674  0.6721
Ca  0.1992  0.7530  0.9522
Ca  0.4638  0.2790  0.1848
Ca  0.8008  0.7530  0.5538
Ca  0.7047  0.0326  0.3279
Ca  0.1992  0.2470  0.4462
Cd  0.6584  0.0000  0.6584

Computed properties:
density of states at the Fermi level = 0.925 states/eV per atom
energy above the lowest structure with this stoichiometry = 0 meV per atom
ΔE_f = -3.36 kcal/mol of atoms

# 3
A relaxed structure of BaTe2W. Source: Alexandria, functional PBE.

Cell: 3.4925 3.4925 9.9898 Å, 90.00 90.00 90.00°
Fractional coordinates of all 4 atoms:
Te  0.0000  0.0000  0.9860
W  0.0000  0.0000  0.4600
Te  0.5000  0.5000  0.3372
Ba  0.5000  0.5000  0.7169

Computed properties:
density of states at the Fermi level = 0.966 states/eV per atom
energy above the lowest structure with this stoichiometry = 448 meV per atom
ΔE_f (raw) = 21 kJ/mol of atoms

What is the density of states at the Fermi level in the first record? 0.000 states/eV per atom